# 1
Ca5Cd: PBEsol geometry, SCAN.

formation energy = -0.121 eV per atom
ΔE to the lowest computed polymorph = 0.000 eV/atom
total magnetization = 0.25 μB/f.u.
space-group type = No. 12
crystal system = monoclinic
total DFT energy (no corrections) = -13.243 eV/atom

abc: 3.969 6.874 8.746
angles: 108.97 90.00 106.78
Fractional positions:
Ca  0.056  0.112  0.028
Ca  0.333  0.666  0.750
Ca  0.028  0.056  0.592
Cd  0.694  0.389  0.889
Ca  0.695  0.389  0.389
Ca  0.361  0.722  0.186


# 2
CaCd3: PBEsol geometry, SCAN.

formation energy = -0.237 eV per atom
total magnetization = 0.00 μB/f.u.
space-group type = No. 123
crystal system = tetragonal
total DFT energy (no corrections) = -25.463 eV/atom

abc: 3.427 3.427 7.898
angles: 90.00 90.00 90.00
Fractional positions:
Cd  0.500  0.500  0.725
Ca  0.000  0.000  0.000
Cd  0.000  0.000  0.500
Cd  0.500  0.500  0.275


# 3
Ca2Cd: PBEsol geometry, SCAN.

formation energy = -0.274 eV per atom
total magnetization = 0.02 μB/f.u.
space-group type = No. 194
crystal system = hexagonal
total DFT energy (no corrections) = -16.855 eV/atom

abc: 5.535 5.535 6.873
angles: 90.00 90.00 120.00
Fractional positions:
Ca  0.000  0.000  0.000
Ca  0.333  0.667  0.750
Ca  0.000  0.000  0.500
Cd  0.667  0.333  0.750
Ca  0.667  0.333  0.250
Cd  0.333  0.667  0.250


# 4
CaCeCd2: PBEsol geometry, SCAN.

formation energy = -0.352 eV per atom
total magnetization = 0.99 μB/f.u.
space-group type = No. 225
crystal system = cubic
total DFT energy (no corrections) = -29.116 eV/atom

abc: 5.315 5.315 5.315
angles: 60.00 60.00 60.00
Each line ends with the local moment (μB).
Fractional positions:
Ce  0.000  0.000  0.000  0.91
Cd  0.250  0.250  0.250  -0.01
Ca  0.500  0.500  0.500  0.00
Cd  0.750  0.750  0.750  -0.01


# 5
CaMgCd2Cl: PBEsol geometry, SCAN.

E_form (uncorrected) = -170 meV/atom
total magnetization = 0.00 μB/f.u.
space-group type = No. 123
crystal system = tetragonal
total DFT energy (no corrections) = -16.859 eV/atom

abc: 4.993 5.612 5.612
angles: 90.00 90.00 90.00
Fractional positions:
Cd  0.000  0.000  0.500
Cd  0.000  0.500  0.000
Cl  0.000  0.000  0.000
Mg  0.500  0.500  0.500
Ca  0.500  0.000  0.000


# 6
CaCd2SnCl: PBEsol geometry, SCAN.

E_form (uncorrected) = -202 meV/atom
total magnetization = 0.00 μB/f.u.
space-group type = No. 123
crystal system = tetragonal
total DFT energy (no corrections) = -23.081 eV/atom

abc: 5.035 5.297 5.297
angles: 90.00 90.00 90.00
Fractional positions:
Cl  0.000  0.000  0.000
Cd  0.000  0.000  0.500
Cd  0.000  0.500  0.000
Sn  0.500  0.500  0.500
Ca  0.500  0.000  0.000


# 7
CaCdWCl2: PBEsol geometry, SCAN.

E_form (uncorrected) = 184 meV/atom
total magnetization = 0.00 μB/f.u.
space-group type = No. 123
crystal system = tetragonal
total DFT energy (no corrections) = -24.961 eV/atom

abc: 4.612 4.612 6.133
angles: 90.00 90.00 90.00
Fractional positions:
Cl  0.000  0.500  0.000
Ca  0.000  0.000  0.500
Cl  0.500  0.000  0.000
W  0.000  0.000  0.000
Cd  0.500  0.500  0.500


# 8
Ca2CdCoN: PBEsol geometry, SCAN.

E_form (uncorrected) = -503 meV/atom
total magnetization = 0.00 μB/f.u.
space-group type = No. 123
crystal system = tetragonal
total DFT energy (no corrections) = -15.770 eV/atom

abc: 3.531 5.064 5.064
angles: 90.00 90.00 90.00
Fractional positions:
Co  0.500  0.000  0.000
Ca  0.000  0.500  0.000
Ca  0.000  0.000  0.500
Cd  0.500  0.500  0.500
N  0.000  0.000  0.000


# 9
CaCdCo2Ru: PBEsol geometry, SCAN.

formation energy = 1.151 eV per atom
total magnetization = 4.88 μB/f.u.
space-group type = No. 123
crystal system = tetragonal
total DFT energy (no corrections) = -20.752 eV/atom

abc: 4.647 4.647 4.917
angles: 90.00 90.00 90.00
Each line ends with the local moment (μB).
Fractional positions:
Ru  0.000  0.000  0.500  1.38
Cd  0.000  0.000  0.000  -0.05
Ca  0.500  0.500  0.500  -0.06
Co  0.000  0.500  0.000  1.88
Co  0.500  0.000  0.000  1.88


# 10
Ca2CrCd: PBEsol geometry, SCAN.

formation energy = 0.034 eV per atom
total magnetization = 4.49 μB/f.u.
space-group type = No. 99
crystal system = tetragonal
total DFT energy (no corrections) = -16.997 eV/atom

abc: 3.652 3.653 8.141
angles: 90.00 90.00 90.00
Each line ends with the local moment (μB).
Fractional positions:
Ca  0.000  0.000  0.946  0.02
Ca  0.500  0.500  0.305  0.00
Cd  0.000  0.000  0.549  -0.03
Cr  0.500  0.500  0.700  3.99


# 11
Ca2CrCd: PBEsol geometry, SCAN.

formation energy = 0.257 eV per atom
total magnetization = 4.44 μB/f.u.
space-group type = No. 166
crystal system = trigonal
total DFT energy (no corrections) = -16.774 eV/atom

abc: 3.575 3.575 10.182
angles: 79.89 79.89 60.00
Each line ends with the local moment (μB).
Fractional positions:
Cd  0.500  0.500  0.500  -0.01
Ca  0.251  0.251  0.246  -0.01
Ca  0.749  0.749  0.754  -0.01
Cr  0.000  0.000  0.000  4.02


# 12
Ca2CrCd: PBEsol geometry, SCAN.

formation energy = 0.015 eV per atom
total magnetization = 4.71 μB/f.u.
space-group type = No. 8
crystal system = monoclinic
total DFT energy (no corrections) = -17.016 eV/atom

abc: 3.598 5.431 6.029
angles: 109.00 107.36 90.00
Each line ends with the local moment (μB).
Fractional positions:
Cr  0.221  0.752  0.443  4.06
Ca  0.980  0.955  0.960  0.00
Ca  0.772  0.296  0.543  0.03
Cd  0.527  0.497  0.054  -0.02


# 13
CaCr2Cd: PBEsol geometry, SCAN.

formation energy = 1.066 eV per atom
total magnetization = 0.00 μB/f.u.
space-group type = No. 65
crystal system = orthorhombic
total DFT energy (no corrections) = -18.145 eV/atom

abc: 2.652 2.652 9.322
angles: 90.00 90.00 87.91
Fractional positions:
Cd  0.500  0.500  0.000
Cr  0.000  0.000  0.233
Cr  0.000  0.000  0.767
Ca  0.500  0.500  0.500